[1]
{
  "formula": "InSb3Cl",
  "functional": "PBE-GGA",
  "state": "optimized geometry",
  "cell": [[-4.2314, -1.1393, -3.1937], [-0.5465, -4.8113, 2.4404], [-3.3465, 2.2263, 3.6397]],
  "species": ["Cl", "Sb", "Sb", "Sb", "In"],
  "fractional_positions": [[0.0000, 0.0000, 0.0000], [0.0000, 0.0000, 0.5000], [0.0000, 0.5000, 0.0000], [0.5000, 0.0000, 0.0000], [0.5000, 0.5000, 0.5000]],
  "raw_formation_energy_mev_per_atom": 642,
  "de_polymorph_ev_per_atom": 0.000
}

***

[2]
{
  "formula": "AlReRu2",
  "functional": "PBE-GGA",
  "state": "optimized geometry",
  "cell": [[-2.4083, -2.7403, 1.5585], [2.1153, -1.8353, 0.0418], [3.4067, -0.2570, 4.8124]],
  "species": ["Ru", "Ru", "Al", "Re"],
  "fractional_positions": [[0.0000, 0.0271, 0.9733], [0.5000, 0.2114, 0.2890], [0.0000, 0.5224, 0.4775], [0.5000, 0.7391, 0.7602]],
  "ef_mev_per_atom": -143
}

***

[3]
{
  "formula": "Ni2HIr",
  "functional": "PBE-GGA",
  "state": "optimized geometry",
  "cell": [[-5.2651, 1.0883, 0.8748], [0.7803, -0.5367, 5.3641], [-1.6647, 2.9249, 3.3005]],
  "species": ["Ni", "Ni", "Ni", "Ni", "H", "H", "Ir", "Ir"],
  "fractional_positions": [[0.3750, 0.4956, 0.7500], [0.2456, 0.6250, 0.2500], [0.8750, 0.7544, 0.7500], [0.5044, 0.1250, 0.2500], [0.5000, 0.5000, 0.0000], [0.2500, 0.7500, 0.5000], [0.0000, 0.0000, 0.0000], [0.7500, 0.2500, 0.5000]],
  "de_polymorph_ev_per_atom": 0.218
}

***

[4]
{
  "formula": "Hf2TiHPt",
  "functional": "PBE-GGA",
  "state": "optimized geometry",
  "cell": [[-1.8523, 0.1363, 4.0967], [-2.7600, -3.3652, -1.1360], [2.5242, -2.4834, 1.2239]],
  "species": ["Pt", "H", "Hf", "Hf", "Ti"],
  "fractional_positions": [[0.5000, 0.5000, 0.5000], [0.0000, 0.0000, 0.0000], [0.0000, 0.5000, 0.0000], [0.5000, 0.0000, 0.0000], [0.0000, 0.0000, 0.5000]],
  "total_energy_ev_per_atom": -7.9536
}